A relaxed structure of Zn2Ir2Pt. Source: Alexandria via LeMat-Bulk, functional PBE.

abc: 7.213 7.213 2.829
angles: 90.00 90.00 90.00
Positions (direct):
Pt  0.000  0.000  0.000
Pt  0.500  0.500  0.000
Zn  0.378  0.878  0.000
Zn  0.622  0.122  0.000
Zn  0.878  0.622  0.000
Zn  0.122  0.378  0.000
Ir  0.823  0.323  0.500
Ir  0.177  0.677  0.500
Ir  0.677  0.823  0.500
Ir  0.323  0.177  0.500

Results
space group = P4/mbm
volume = 14.7 A^3/atom
distance to the lowest polymorph of the same formula = 2.6 kJ/mol of atoms
DOS(E_F) = 8.3 states/eV/cell
magnetization = 0.00 μB per cell

A relaxed structure of Zn5IrPt. Source: Alexandria via LeMat-Bulk, functional PBE.

abc: 4.412 4.412 5.681
angles: 90.00 90.00 90.00
Positions (direct):
Zn  0.500  0.500  0.500
Zn  0.000  0.500  0.768
Zn  0.500  0.000  0.768
Zn  0.500  0.000  0.232
Zn  0.000  0.500  0.232
Ir  0.500  0.500  0.000
Pt  0.000  0.000  0.500

Results
space group = P4/mmm
volume = 15.8 A^3/atom
distance to the lowest polymorph of the same formula = 0.0 kJ/mol of atoms
DOS(E_F) = 2.6 states/eV/cell
magnetization = 0.00 μB per cell

A relaxed structure of Zn2IrPt. Source: Alexandria via LeMat-Bulk, functional PBE.

abc: 3.039 4.650 4.179
angles: 90.00 90.00 90.00
Positions (direct):
Zn  0.000  0.000  0.000
Zn  0.500  0.500  0.000
Pt  0.000  0.500  0.500
Ir  0.500  0.000  0.500

Results
calculated total energy = -0.16734 hartree per atom
space group = Pmmm
volume = 14.8 A^3/atom
DOS(E_F) = 1.9 states/eV/cell
magnetization = 0.00 μB per cell

A relaxed structure of ZnIrPt2. Source: Alexandria via LeMat-Bulk, functional PBE.

abc: 3.925 2.763 6.188
angles: 63.39 90.00 90.00
Positions (direct):
Pt  0.000  0.500  0.501
Pt  0.000  0.000  0.999
Ir  0.500  0.750  0.750
Zn  0.500  0.250  0.250

Results
calculated total energy = -0.20969 hartree per atom
space group = P2/m
volume = 15.0 A^3/atom
DOS(E_F) = 4.5 states/eV/cell
magnetization = 0.00 μB per cell

A relaxed structure of ZnIrPt. Source: Alexandria via LeMat-Bulk, functional PBE.

abc: 4.846 4.846 4.846
angles: 147.15 133.47 58.13
Positions (direct):
Ir  0.994  0.994  0.000
Zn  0.335  0.335  0.000
Pt  0.671  0.671  0.000

Results
space group = Imm2
volume = 14.8 A^3/atom
distance to the lowest polymorph of the same formula = 9.4 kJ/mol of atoms
DOS(E_F) = 4.0 states/eV/cell
magnetization = 0.00 μB per cell

A relaxed structure of Zn2IrPt. Source: Alexandria via LeMat-Bulk, functional PBE.

abc: 4.997 4.997 4.997
angles: 144.20 124.81 67.55
Positions (direct):
Zn  0.000  0.000  0.000
Zn  0.500  0.500  0.000
Pt  0.250  0.750  0.500
Ir  0.750  0.250  0.500

Results
calculated total energy = -0.16723 hartree per atom
space group = Immm
volume = 14.8 A^3/atom
DOS(E_F) = 2.0 states/eV/cell
magnetization = 0.00 μB per cell

A relaxed structure of ZnIrPt2. Source: Alexandria via LeMat-Bulk, functional PBE.

abc: 2.754 2.754 9.231
angles: 90.00 90.00 119.78
Positions (direct):
Pt  0.000  0.000  0.996
Pt  0.500  0.500  0.263
Zn  0.000  0.000  0.503
Ir  0.500  0.500  0.738

Results
calculated total energy = -0.20589 hartree per atom
space group = Cmm2
volume = 15.2 A^3/atom
DOS(E_F) = 5.1 states/eV/cell
magnetization = 0.00 μB per cell

A relaxed structure of ZnIrPt. Source: Alexandria via LeMat-Bulk, functional PBE.

abc: 2.778 2.778 6.600
angles: 90.00 90.00 120.00
Positions (direct):
Pt  0.000  0.000  0.510
Zn  0.333  0.667  0.836
Ir  0.667  0.333  0.156

Results
space group = P3m1
volume = 14.7 A^3/atom
distance to the lowest polymorph of the same formula = 0.0 kJ/mol of atoms
DOS(E_F) = 3.8 states/eV/cell
magnetization = 0.00 μB per cell

Please write out number 8 again, unchanged.
A relaxed structure of ZnIrPt. Source: Alexandria via LeMat-Bulk, functional PBE.

abc: 2.778 2.778 6.600
angles: 90.00 90.00 120.00
Positions (direct):
Pt  0.000  0.000  0.510
Zn  0.333  0.667  0.836
Ir  0.667  0.333  0.156

Results
space group = P3m1
volume = 14.7 A^3/atom
distance to the lowest polymorph of the same formula = 0.0 kJ/mol of atoms
DOS(E_F) = 3.8 states/eV/cell
magnetization = 0.00 μB per cell

Please write out number 8 again, unchanged.
A relaxed structure of ZnIrPt. Source: Alexandria via LeMat-Bulk, functional PBE.

abc: 2.778 2.778 6.600
angles: 90.00 90.00 120.00
Positions (direct):
Pt  0.000  0.000  0.510
Zn  0.333  0.667  0.836
Ir  0.667  0.333  0.156

Results
space group = P3m1
volume = 14.7 A^3/atom
distance to the lowest polymorph of the same formula = 0.0 kJ/mol of atoms
DOS(E_F) = 3.8 states/eV/cell
magnetization = 0.00 μB per cell

What did the third record say?
A relaxed structure of Zn2IrPt. Source: Alexandria via LeMat-Bulk, functional PBE.

abc: 3.039 4.650 4.179
angles: 90.00 90.00 90.00
Positions (direct):
Zn  0.000  0.000  0.000
Zn  0.500  0.500  0.000
Pt  0.000  0.500  0.500
Ir  0.500  0.000  0.500

Results
calculated total energy = -0.16734 hartree per atom
space group = Pmmm
volume = 14.8 A^3/atom
DOS(E_F) = 1.9 states/eV/cell
magnetization = 0.00 μB per cell